Here is TiSn2PdS after structural relaxation from the Alexandria database. Energies are from PBE-GGA.

Computed properties:
M_tot: 0.00 μB/f.u.
mass density: 5.65 g/cm³
formation energy from raw total energies: 0.48 eV/atom

Unit cell a=5.261 b=5.261 c=4.501 alpha=90.00 beta=90.00 gamma=90.00
Sites, in units of the cell vectors:
Ti: 0.000 0.000 0.000
Sn: 0.000 0.500 0.500
Sn: 0.500 0.000 0.500
Pd: 0.500 0.500 0.500
S: 0.500 0.500 0.000